An optimized crystal structure of SrCo3O4. Source: OQMD via LeMat-Bulk, functional PBE+U.

Unit cell a=5.741 b=5.741 c=5.741 alpha=90.00 beta=90.00 gamma=90.00
Fractional coordinates of all 16 atoms:
Sr (0.000, 0.000, 0.000)
Sr (0.500, 0.500, 0.500)
Co (0.000, 0.250, 0.500)
Co (0.000, 0.750, 0.500)
Co (0.250, 0.500, 0.000)
Co (0.500, 0.000, 0.250)
Co (0.500, 0.000, 0.750)
Co (0.750, 0.500, 0.000)
O (0.250, 0.250, 0.250)
O (0.250, 0.250, 0.750)
O (0.250, 0.750, 0.250)
O (0.250, 0.750, 0.750)
O (0.750, 0.250, 0.250)
O (0.750, 0.250, 0.750)
O (0.750, 0.750, 0.250)
O (0.750, 0.750, 0.750)

## Properties
energy = -93.0 eV/cell